# 1
First-principles (GGA-PBE) data for Li4Zn3Ir after structural relaxation, as listed in Alexandria via LeMat-Bulk.

## Properties
- magnetization (μB/atom) = 0.000
- DFT formation energy (meV/atom) = -197
- density of states at the Fermi level (states/eV/f.u.) = 2.41

```
data_Li4Zn3Ir
_chemical_formula_sum 'Li4 Zn3 Ir1'
_symmetry_space_group_name_H-M 'P 1'
_symmetry_Int_Tables_number 1
_cell_length_a 3.033
_cell_length_b 4.320
_cell_length_c 11.125
_cell_angle_alpha 125.02
_cell_angle_beta 97.83
_cell_angle_gamma 90.00
loop_
_symmetry_equiv_pos_as_xyz
'x,y,z'
loop_
_atom_site_label
_atom_site_type_symbol
_atom_site_fract_x
_atom_site_fract_y
_atom_site_fract_z
Li1 Li 0.380 0.143 0.760
Li2 Li 0.620 0.857 0.240
Li3 Li 0.741 0.723 0.482
Li4 Li 0.259 0.277 0.518
Zn1 Zn 0.000 0.500 0.000
Zn2 Zn 0.120 0.356 0.239
Zn3 Zn 0.880 0.644 0.761
Ir1 Ir 0.500 0.000 0.000
```

# 2
First-principles (GGA-PBE) data for Li2TaP after structural relaxation, as listed in Alexandria via LeMat-Bulk.

## Properties
- magnetization (μB/atom) = 0.000
- DFT formation energy (meV/atom) = 52
- density of states at the Fermi level (states/eV/f.u.) = 1.75

```
data_Li2TaP
_chemical_formula_sum 'Li2 Ta1 P1'
_symmetry_space_group_name_H-M 'P 1'
_symmetry_Int_Tables_number 1
_cell_length_a 2.670
_cell_length_b 2.670
_cell_length_c 8.973
_cell_angle_alpha 90.00
_cell_angle_beta 90.00
_cell_angle_gamma 104.18
loop_
_symmetry_equiv_pos_as_xyz
'x,y,z'
loop_
_atom_site_label
_atom_site_type_symbol
_atom_site_fract_x
_atom_site_fract_y
_atom_site_fract_z
Li1 Li 0.000 0.000 0.041
Li2 Li 0.000 0.000 0.459
P1 P 0.500 0.500 0.250
Ta1 Ta 0.500 0.500 0.750
```

# 3
First-principles (GGA-PBE) data for BaCuAsH after structural relaxation, as listed in Alexandria via LeMat-Bulk.

## Properties
- magnetization (μB/atom) = 0.000
- final energy (eV/atom) = -4.010
- density of states at the Fermi level (states/eV/f.u.) = 1.46

```
data_BaCuAsH
_chemical_formula_sum 'Ba1 Cu1 As1 H1'
_symmetry_space_group_name_H-M 'P 1'
_symmetry_Int_Tables_number 1
_cell_length_a 4.313
_cell_length_b 4.314
_cell_length_c 4.997
_cell_angle_alpha 90.01
_cell_angle_beta 90.00
_cell_angle_gamma 120.00
loop_
_symmetry_equiv_pos_as_xyz
'x,y,z'
loop_
_atom_site_label
_atom_site_type_symbol
_atom_site_fract_x
_atom_site_fract_y
_atom_site_fract_z
Ba1 Ba 0.572 0.144 0.344
Cu1 Cu 0.239 0.477 0.877
As1 As 0.905 0.810 0.818
H1 H 0.239 0.477 0.201
```

# 4
First-principles (GGA-PBE) data for TaRe3B after structural relaxation, as listed in Alexandria via LeMat-Bulk.

## Properties
- magnetization (μB/atom) = 0.000
- distance to the lowest polymorph of the same formula (meV/atom) = 0
- DFT formation energy (meV/atom) = -23
- density of states at the Fermi level (states/eV/f.u.) = 6.23

```
data_TaRe3B
_chemical_formula_sum 'Ta1 Re3 B1'
_symmetry_space_group_name_H-M 'P 1'
_symmetry_Int_Tables_number 1
_cell_length_a 4.152
_cell_length_b 4.152
_cell_length_c 4.152
_cell_angle_alpha 90.00
_cell_angle_beta 90.00
_cell_angle_gamma 90.00
loop_
_symmetry_equiv_pos_as_xyz
'x,y,z'
loop_
_atom_site_label
_atom_site_type_symbol
_atom_site_fract_x
_atom_site_fract_y
_atom_site_fract_z
Re1 Re 0.000 0.500 0.000
Re2 Re 0.000 0.000 0.500
Re3 Re 0.500 0.000 0.000
B1 B 0.000 0.000 0.000
Ta1 Ta 0.500 0.500 0.500
```

# 5
First-principles (GGA-PBE) data for KSi2Br after structural relaxation, as listed in Alexandria via LeMat-Bulk.

## Properties
- formation energy (no corrections) (eV/atom) = -0.14
- magnetization (μB/atom) = 0.000
- distance to the lowest polymorph of the same formula (meV/atom) = 252
- density of states at the Fermi level (states/eV/f.u.) = 1.06

```
data_KSi2Br
_chemical_formula_sum 'K1 Si2 Br1'
_symmetry_space_group_name_H-M 'P 1'
_symmetry_Int_Tables_number 1
_cell_length_a 3.587
_cell_length_b 3.587
_cell_length_c 8.275
_cell_angle_alpha 90.00
_cell_angle_beta 90.00
_cell_angle_gamma 90.00
loop_
_symmetry_equiv_pos_as_xyz
'x,y,z'
loop_
_atom_site_label
_atom_site_type_symbol
_atom_site_fract_x
_atom_site_fract_y
_atom_site_fract_z
Br1 Br 0.000 0.000 0.496
K1 K 0.500 0.500 0.715
Si1 Si 0.000 0.000 0.166
Si2 Si 0.500 0.500 0.123
```

# 6
First-principles (GGA-PBE) data for CeTeH2 after structural relaxation, as listed in Alexandria via LeMat-Bulk.

## Properties
- magnetization (μB/atom) = 0.033
- distance to the lowest polymorph of the same formula (meV/atom) = 0

```
data_CeTeH2
_chemical_formula_sum 'Ce1 Te1 H2'
_symmetry_space_group_name_H-M 'P 1'
_symmetry_Int_Tables_number 1
_cell_length_a 3.889
_cell_length_b 3.889
_cell_length_c 5.256
_cell_angle_alpha 68.28
_cell_angle_beta 68.28
_cell_angle_gamma 60.00
loop_
_symmetry_equiv_pos_as_xyz
'x,y,z'
loop_
_atom_site_label
_atom_site_type_symbol
_atom_site_fract_x
_atom_site_fract_y
_atom_site_fract_z
H1 H 0.305 0.305 0.086
H2 H 0.695 0.695 0.914
Te1 Te 0.500 0.500 0.500
Ce1 Ce 0.000 0.000 0.000
```

# 7
First-principles (GGA-PBE) data for AcYMgHg after structural relaxation, as listed in Alexandria via LeMat-Bulk.

## Properties
- magnetization (μB/atom) = 0.000
- distance to the lowest polymorph of the same formula (meV/atom) = 48
- DFT formation energy (meV/atom) = -226
- density of states at the Fermi level (states/eV/f.u.) = 5.17

```
data_AcYMgHg
_chemical_formula_sum 'Ac1 Y1 Mg1 Hg1'
_symmetry_space_group_name_H-M 'P 1'
_symmetry_Int_Tables_number 1
_cell_length_a 5.557
_cell_length_b 5.557
_cell_length_c 5.557
_cell_angle_alpha 60.00
_cell_angle_beta 60.00
_cell_angle_gamma 60.00
loop_
_symmetry_equiv_pos_as_xyz
'x,y,z'
loop_
_atom_site_label
_atom_site_type_symbol
_atom_site_fract_x
_atom_site_fract_y
_atom_site_fract_z
Y1 Y 0.000 0.000 0.000
Ac1 Ac 0.500 0.500 0.500
Mg1 Mg 0.750 0.750 0.750
Hg1 Hg 0.250 0.250 0.250
```

# 8
First-principles (GGA-PBE) data for Al2SbIr after structural relaxation, as listed in Alexandria via LeMat-Bulk.

## Properties
- formation energy (no corrections) (eV/atom) = -0.02
- magnetization (μB/atom) = 0.000
- density of states at the Fermi level (states/eV/f.u.) = 1.59

```
data_Al2SbIr
_chemical_formula_sum 'Al2 Sb1 Ir1'
_symmetry_space_group_name_H-M 'P 1'
_symmetry_Int_Tables_number 1
_cell_length_a 4.962
_cell_length_b 4.962
_cell_length_c 4.962
_cell_angle_alpha 130.87
_cell_angle_beta 130.87
_cell_angle_gamma 72.02
loop_
_symmetry_equiv_pos_as_xyz
'x,y,z'
loop_
_atom_site_label
_atom_site_type_symbol
_atom_site_fract_x
_atom_site_fract_y
_atom_site_fract_z
Sb1 Sb 0.750 0.250 0.500
Ir1 Ir 0.250 0.750 0.500
Al1 Al 0.000 0.000 0.000
Al2 Al 0.500 0.500 0.000
```

# 9
First-principles (GGA-PBE) data for TbCeSO2 after structural relaxation, as listed in Alexandria via LeMat-Bulk.

## Properties
- formation energy (no corrections) (eV/atom) = -2.98
- magnetization (μB/atom) = 0.200
- density of states at the Fermi level (states/eV/f.u.) = 5.78

```
data_TbCeSO2
_chemical_formula_sum 'Tb1 Ce1 S1 O2'
_symmetry_space_group_name_H-M 'P 1'
_symmetry_Int_Tables_number 1
_cell_length_a 3.836
_cell_length_b 3.836
_cell_length_c 6.646
_cell_angle_alpha 106.77
_cell_angle_beta 106.77
_cell_angle_gamma 90.00
loop_
_symmetry_equiv_pos_as_xyz
'x,y,z'
loop_
_atom_site_label
_atom_site_type_symbol
_atom_site_fract_x
_atom_site_fract_y
_atom_site_fract_z
Tb1 Tb 0.151 0.151 0.302
Ce1 Ce 0.853 0.853 0.706
S1 S 0.502 0.502 0.004
O1 O 0.747 0.247 0.494
O2 O 0.247 0.747 0.494
```

# 10
First-principles (GGA-PBE) data for FeTeSe2 after structural relaxation, as listed in Alexandria via LeMat-Bulk.

## Properties
- formation energy (no corrections) (eV/atom) = -0.07
- magnetization (μB/atom) = 0.233
- density of states at the Fermi level (states/eV/f.u.) = 4.58

```
data_FeTeSe2
_chemical_formula_sum 'Fe1 Te1 Se2'
_symmetry_space_group_name_H-M 'P 1'
_symmetry_Int_Tables_number 1
_cell_length_a 8.405
_cell_length_b 8.405
_cell_length_c 8.405
_cell_angle_alpha 24.51
_cell_angle_beta 24.51
_cell_angle_gamma 24.51
loop_
_symmetry_equiv_pos_as_xyz
'x,y,z'
loop_
_atom_site_label
_atom_site_type_symbol
_atom_site_fract_x
_atom_site_fract_y
_atom_site_fract_z
Te1 Te 0.000 0.000 0.000
Fe1 Fe 0.500 0.500 0.500
Se1 Se 0.884 0.884 0.884
Se2 Se 0.116 0.116 0.116
```

# 11
First-principles (GGA-PBE) data for Dy3Y4Mg after structural relaxation, as listed in Alexandria via LeMat-Bulk.

## Properties
- magnetization (μB/atom) = 0.000
- DFT formation energy (meV/atom) = 224
- density of states at the Fermi level (states/eV/f.u.) = 13.10

```
data_Dy3Y4Mg
_chemical_formula_sum 'Dy3 Y4 Mg1'
_symmetry_space_group_name_H-M 'P 1'
_symmetry_Int_Tables_number 1
_cell_length_a 3.415
_cell_length_b 5.828
_cell_length_c 12.986
_cell_angle_alpha 96.01
_cell_angle_beta 97.56
_cell_angle_gamma 90.00
loop_
_symmetry_equiv_pos_as_xyz
'x,y,z'
loop_
_atom_site_label
_atom_site_type_symbol
_atom_site_fract_x
_atom_site_fract_y
_atom_site_fract_z
Y1 Y 0.718 0.236 0.435
Y2 Y 0.282 0.764 0.565
Y3 Y 0.101 0.191 0.202
Y4 Y 0.899 0.809 0.798
Mg1 Mg 0.500 0.000 0.000
Dy1 Dy 0.000 0.500 0.000
Dy2 Dy 0.151 0.712 0.301
Dy3 Dy 0.849 0.288 0.699
```

# 12
First-principles (GGA-PBE) data for CdFeIr2 after structural relaxation, as listed in Alexandria via LeMat-Bulk.

## Properties
- magnetization (μB/atom) = 0.827
- DFT formation energy (meV/atom) = 290
- density of states at the Fermi level (states/eV/f.u.) = 4.95

```
data_CdFeIr2
_chemical_formula_sum 'Cd1 Fe1 Ir2'
_symmetry_space_group_name_H-M 'P 1'
_symmetry_Int_Tables_number 1
_cell_length_a 4.765
_cell_length_b 4.765
_cell_length_c 2.819
_cell_angle_alpha 90.00
_cell_angle_beta 90.00
_cell_angle_gamma 107.16
loop_
_symmetry_equiv_pos_as_xyz
'x,y,z'
loop_
_atom_site_label
_atom_site_type_symbol
_atom_site_fract_x
_atom_site_fract_y
_atom_site_fract_z
Cd1 Cd 0.500 0.000 0.500
Fe1 Fe 0.000 0.500 0.500
Ir1 Ir 0.000 0.000 0.000
Ir2 Ir 0.500 0.500 0.000
```

Number 4 is which compound?
TaRe3B

What did the eleventh record say?
First-principles (GGA-PBE) data for Dy3Y4Mg after structural relaxation, as listed in Alexandria via LeMat-Bulk.

## Properties
- magnetization (μB/atom) = 0.000
- DFT formation energy (meV/atom) = 224
- density of states at the Fermi level (states/eV/f.u.) = 13.10

```
data_Dy3Y4Mg
_chemical_formula_sum 'Dy3 Y4 Mg1'
_symmetry_space_group_name_H-M 'P 1'
_symmetry_Int_Tables_number 1
_cell_length_a 3.415
_cell_length_b 5.828
_cell_length_c 12.986
_cell_angle_alpha 96.01
_cell_angle_beta 97.56
_cell_angle_gamma 90.00
loop_
_symmetry_equiv_pos_as_xyz
'x,y,z'
loop_
_atom_site_label
_atom_site_type_symbol
_atom_site_fract_x
_atom_site_fract_y
_atom_site_fract_z
Y1 Y 0.718 0.236 0.435
Y2 Y 0.282 0.764 0.565
Y3 Y 0.101 0.191 0.202
Y4 Y 0.899 0.809 0.798
Mg1 Mg 0.500 0.000 0.000
Dy1 Dy 0.000 0.500 0.000
Dy2 Dy 0.151 0.712 0.301
Dy3 Dy 0.849 0.288 0.699
```

Please write out number 9 again, unchanged.
First-principles (GGA-PBE) data for TbCeSO2 after structural relaxation, as listed in Alexandria via LeMat-Bulk.

## Properties
- formation energy (no corrections) (eV/atom) = -2.98
- magnetization (μB/atom) = 0.200
- density of states at the Fermi level (states/eV/f.u.) = 5.78

```
data_TbCeSO2
_chemical_formula_sum 'Tb1 Ce1 S1 O2'
_symmetry_space_group_name_H-M 'P 1'
_symmetry_Int_Tables_number 1
_cell_length_a 3.836
_cell_length_b 3.836
_cell_length_c 6.646
_cell_angle_alpha 106.77
_cell_angle_beta 106.77
_cell_angle_gamma 90.00
loop_
_symmetry_equiv_pos_as_xyz
'x,y,z'
loop_
_atom_site_label
_atom_site_type_symbol
_atom_site_fract_x
_atom_site_fract_y
_atom_site_fract_z
Tb1 Tb 0.151 0.151 0.302
Ce1 Ce 0.853 0.853 0.706
S1 S 0.502 0.502 0.004
O1 O 0.747 0.247 0.494
O2 O 0.247 0.747 0.494
```